[1]
Here is an optimized crystal structure of FeCo2Ir from Alexandria. Energies are from PBE-GGA.

**Polymorph energy (0 for the lowest one)**: 314.7 meV/atom
**Raw total energy**: -7.554 eV per atom

Unit cell a=4.0644 b=4.0644 c=4.0644 alpha=60.00 beta=60.00 gamma=60.00
With the nearest neighbours (Å) after each atom.
Fractional positions:
1 Co 0.7500 0.7500 0.7500  4 Fe 2.49, 4 Ir 2.49
2 Co 0.2500 0.2500 0.2500  4 Fe 2.49, 4 Ir 2.49
3 Fe 0.0000 0.0000 0.0000  8 Co 2.49
4 Ir 0.5000 0.5000 0.5000  8 Co 2.49

=====

[2]
Here is an optimized crystal structure of Fe7Co3Ir from Alexandria. Energies are from PBE-GGA.

**Raw total energy**: -8.024 eV per atom

Unit cell a=2.7507 b=10.8732 c=9.1326 alpha=90.00 beta=90.00 gamma=97.27
With the nearest neighbours (Å) after each atom.
Fractional positions:
1 Fe 0.6556 0.3112 0.5728  2 Fe 2.43, 4 Co 2.44-2.53, 2 Ir 2.53
2 Fe 0.5081 0.0162 0.6211  2 Fe 2.24-2.36, 2 Co 2.45
3 Fe 0.3584 0.7168 0.7500  4 Co 2.50, 6 Fe 2.58-2.75
4 Co 0.7806 0.5611 0.2500  8 Fe 2.43-2.53
5 Ir 0.9078 0.8156 0.2500  8 Fe 2.53-2.56, 1 Co 2.75, 2 Ir 2.75
6 Fe 0.4919 0.9838 0.3789  2 Fe 2.24-2.36, 2 Co 2.45
7 Fe 0.4919 0.9838 0.1211  2 Fe 2.24-2.36, 2 Co 2.45
8 Fe 0.7831 0.5662 0.9088  2 Co 2.43, 6 Fe 2.43-2.59
9 Fe 0.5081 0.0162 0.8789  2 Fe 2.24-2.36, 2 Co 2.45
10 Co 0.9169 0.8337 0.5675  8 Fe 2.44-2.73
11 Fe 0.6416 0.2832 0.2500  4 Co 2.50, 6 Fe 2.58-2.75
12 Fe 0.3444 0.6888 0.4272  2 Fe 2.43, 4 Co 2.44-2.53, 2 Ir 2.53
13 Fe 0.7831 0.5662 0.5912  2 Co 2.43, 6 Fe 2.43-2.59
14 Fe 0.6556 0.3112 0.9272  2 Fe 2.43, 4 Co 2.44-2.53, 2 Ir 2.53
15 Co 0.9169 0.8337 0.9325  8 Fe 2.44-2.73
16 Co 0.2194 0.4389 0.7500  8 Fe 2.43-2.53
17 Fe 0.2169 0.4338 0.4088  2 Co 2.43, 6 Fe 2.43-2.59
18 Fe 0.3444 0.6888 0.0728  2 Fe 2.43, 4 Co 2.44-2.53, 2 Ir 2.53
19 Co 0.0831 0.1663 0.4325  8 Fe 2.44-2.73
20 Fe 0.2169 0.4338 0.0912  2 Co 2.43, 6 Fe 2.43-2.59
21 Co 0.0831 0.1663 0.0675  8 Fe 2.44-2.73
22 Ir 0.0922 0.1844 0.7500  8 Fe 2.53-2.56, 1 Co 2.75, 2 Ir 2.75

=====

> Look up the raw total energy of the second one.

-8.024 eV per atom

=====

> What is the raw total energy in the second record?

-8.024 eV per atom

=====

> Which value of raw total energy does entry 2 give?

-8.024 eV per atom